# 1
# BaSiTc2Sb | the Alexandria database | PBE-GGA | optimized geometry
data_BaSiTc2Sb
_chemical_formula_sum 'Ba1 Si1 Tc2 Sb1'
_space_group_name_H-M_alt 'P 1'
_space_group_IT_number 1
_space_group_name_Hall 'P 1'
_cell_length_a 5.138
_cell_length_b 5.138
_cell_length_c 5.476
_cell_angle_alpha 90.00
_cell_angle_beta 90.00
_cell_angle_gamma 90.00
loop_
_atom_site_label
_atom_site_type_symbol
_atom_site_fract_x
_atom_site_fract_y
_atom_site_fract_z
Ba1 Ba 0.000 0.000 0.000
Si1 Si 0.000 0.000 0.500
Tc1 Tc 0.000 0.500 0.000
Tc2 Tc 0.500 0.000 0.000
Sb1 Sb 0.500 0.500 0.500
# - theoretical density (g/cm³) = 5.55
# - uncorrected energy (eV per atom) = -3.964
# - formation energy from raw total energies (meV per atom) = 2476
# - SG = P4/mmm (123)

***

# 2
# AsSe2O | the Alexandria database | PBE-GGA | optimized geometry
data_AsSe2O
_chemical_formula_sum 'As3 Se6 O3'
_space_group_name_H-M_alt 'P 1'
_space_group_IT_number 1
_space_group_name_Hall 'P 1'
_cell_length_a 3.750
_cell_length_b 3.750
_cell_length_c 21.398
_cell_angle_alpha 90.00
_cell_angle_beta 90.00
_cell_angle_gamma 120.00
loop_
_atom_site_label
_atom_site_type_symbol
_atom_site_fract_x
_atom_site_fract_y
_atom_site_fract_z
As1 As 0.000 0.000 0.000
As2 As 0.333 0.667 0.667
As3 As 0.667 0.333 0.333
Se1 Se 0.000 0.000 0.411
Se2 Se 0.000 0.000 0.589
Se3 Se 0.333 0.667 0.078
Se4 Se 0.333 0.667 0.256
Se5 Se 0.667 0.333 0.744
Se6 Se 0.667 0.333 0.922
O1 O 0.000 0.000 0.500
O2 O 0.333 0.667 0.167
O3 O 0.667 0.333 0.833
# - theoretical density (g/cm³) = 4.76
# - uncorrected energy (eV per atom) = -4.030
# - formation energy from raw total energies (meV per atom) = 115
# - SG = R-3m (166)

***

# 3
# RbGeSbBr6 | the Alexandria database | PBE-GGA | optimized geometry
data_RbGeSbBr6
_chemical_formula_sum 'Rb1 Ge1 Sb1 Br6'
_space_group_name_H-M_alt 'P 1'
_space_group_IT_number 1
_space_group_name_Hall 'P 1'
_cell_length_a 7.335
_cell_length_b 7.335
_cell_length_c 7.721
_cell_angle_alpha 90.00
_cell_angle_beta 90.00
_cell_angle_gamma 120.00
loop_
_atom_site_label
_atom_site_type_symbol
_atom_site_fract_x
_atom_site_fract_y
_atom_site_fract_z
Rb1 Rb 0.000 0.000 0.000
Ge1 Ge 0.667 0.333 0.500
Sb1 Sb 0.333 0.667 0.500
Br1 Br 0.375 0.001 0.714
Br2 Br 0.375 0.373 0.286
Br3 Br 0.627 0.001 0.286
Br4 Br 0.627 0.625 0.714
Br5 Br 0.999 0.373 0.714
Br6 Br 0.999 0.625 0.286
# - theoretical density (g/cm³) = 3.50
# - uncorrected energy (eV per atom) = -3.054
# - formation energy from raw total energies (meV per atom) = -860
# - SG = P312 (149)

***

# 4
# Cd2Hg2Pb7 | the Alexandria database | PBE-GGA | optimized geometry
data_Cd2Hg2Pb7
_chemical_formula_sum 'Cd2 Hg2 Pb7'
_space_group_name_H-M_alt 'P 1'
_space_group_IT_number 1
_space_group_name_Hall 'P 1'
_cell_length_a 7.199
_cell_length_b 7.199
_cell_length_c 6.454
_cell_angle_alpha 91.36
_cell_angle_beta 91.36
_cell_angle_gamma 84.15
loop_
_atom_site_label
_atom_site_type_symbol
_atom_site_fract_x
_atom_site_fract_y
_atom_site_fract_z
Cd1 Cd 0.182 0.182 0.141
Cd2 Cd 0.818 0.818 0.859
Hg1 Hg 0.218 0.782 0.000
Hg2 Hg 0.782 0.218 0.000
Pb1 Pb 0.000 0.000 0.500
Pb2 Pb 0.074 0.430 0.729
Pb3 Pb 0.430 0.074 0.729
Pb4 Pb 0.465 0.465 0.256
Pb5 Pb 0.535 0.535 0.744
Pb6 Pb 0.570 0.926 0.271
Pb7 Pb 0.926 0.570 0.271
# - theoretical density (g/cm³) = 10.37
# - uncorrected energy (eV per atom) = -2.501
# - calculated formation energy (eV per formula unit) = 0.89
# - SG = C2/m (12)

***

# 5
# La5NdSmY | the Alexandria database | PBE-GGA | optimized geometry
data_La5NdSmY
_chemical_formula_sum 'La10 Nd2 Sm2 Y2'
_space_group_name_H-M_alt 'P 1'
_space_group_IT_number 1
_space_group_name_Hall 'P 1'
_cell_length_a 8.556
_cell_length_b 8.556
_cell_length_c 8.678
_cell_angle_alpha 106.13
_cell_angle_beta 106.13
_cell_angle_gamma 86.65
loop_
_atom_site_label
_atom_site_type_symbol
_atom_site_fract_x
_atom_site_fract_y
_atom_site_fract_z
La1 La 0.131 0.869 0.750
La2 La 0.159 0.496 0.910
La3 La 0.162 0.233 0.129
La4 La 0.233 0.162 0.629
La5 La 0.496 0.159 0.410
La6 La 0.504 0.841 0.590
La7 La 0.767 0.838 0.371
La8 La 0.838 0.767 0.871
La9 La 0.841 0.504 0.090
La10 La 0.869 0.131 0.250
Nd1 Nd 0.000 0.500 0.500
Nd2 Nd 0.500 0.000 0.000
Sm1 Sm 0.189 0.811 0.250
Sm2 Sm 0.811 0.189 0.750
Y1 Y 0.479 0.521 0.750
Y2 Y 0.521 0.479 0.250
# - theoretical density (g/cm³) = 6.11
# - uncorrected energy (eV per atom) = -4.823
# - calculated formation energy (eV per formula unit) = 2.00
# - SG = C2/c (15)

***

# 6
# H8Pd3Rh2 | the Alexandria database | PBE-GGA | optimized geometry
data_H8Pd3Rh2
_chemical_formula_sum 'H8 Pd3 Rh2'
_space_group_name_H-M_alt 'P 1'
_space_group_IT_number 1
_space_group_name_Hall 'P 1'
_cell_length_a 5.588
_cell_length_b 5.588
_cell_length_c 4.825
_cell_angle_alpha 107.87
_cell_angle_beta 107.87
_cell_angle_gamma 60.59
loop_
_atom_site_label
_atom_site_type_symbol
_atom_site_fract_x
_atom_site_fract_y
_atom_site_fract_z
H1 H 0.094 0.621 0.222
H2 H 0.119 0.119 0.228
H3 H 0.375 0.375 0.818
H4 H 0.379 0.906 0.778
H5 H 0.621 0.094 0.222
H6 H 0.625 0.625 0.182
H7 H 0.881 0.881 0.772
H8 H 0.906 0.379 0.778
Pd1 Pd 0.000 0.000 0.500
Pd2 Pd 0.255 0.745 0.000
Pd3 Pd 0.745 0.255 0.000
Rh1 Rh 0.252 0.252 0.018
Rh2 Rh 0.748 0.748 0.982
# - theoretical density (g/cm³) = 7.22
# - uncorrected energy (eV per atom) = -4.354
# - SG = C2/m (12)

***

# 7
# ZrNiC2 | the Alexandria database | PBE-GGA | optimized geometry
data_ZrNiC2
_chemical_formula_sum 'Zr4 Ni4 C8'
_space_group_name_H-M_alt 'P 1'
_space_group_IT_number 1
_space_group_name_Hall 'P 1'
_cell_length_a 5.513
_cell_length_b 5.513
_cell_length_c 5.513
_cell_angle_alpha 90.00
_cell_angle_beta 90.00
_cell_angle_gamma 90.00
loop_
_atom_site_label
_atom_site_type_symbol
_atom_site_fract_x
_atom_site_fract_y
_atom_site_fract_z
Zr1 Zr 0.000 0.000 0.000
Zr2 Zr 0.000 0.500 0.500
Zr3 Zr 0.500 0.000 0.500
Zr4 Zr 0.500 0.500 0.000
Ni1 Ni 0.000 0.000 0.500
Ni2 Ni 0.000 0.500 0.000
Ni3 Ni 0.500 0.000 0.000
Ni4 Ni 0.500 0.500 0.500
C1 C 0.250 0.250 0.250
C2 C 0.250 0.250 0.750
C3 C 0.250 0.750 0.250
C4 C 0.250 0.750 0.750
C5 C 0.750 0.250 0.250
C6 C 0.750 0.250 0.750
C7 C 0.750 0.750 0.250
C8 C 0.750 0.750 0.750
# - theoretical density (g/cm³) = 6.89
# - uncorrected energy (eV per atom) = -7.399
# - calculated formation energy (eV per formula unit) = 3.18
# - SG = Fm-3m (225)

***

# 8
# LaPmY2 | the Alexandria database | PBE-GGA | optimized geometry
data_LaPmY2
_chemical_formula_sum 'La4 Pm4 Y8'
_space_group_name_H-M_alt 'P 1'
_space_group_IT_number 1
_space_group_name_Hall 'P 1'
_cell_length_a 8.193
_cell_length_b 8.193
_cell_length_c 8.193
_cell_angle_alpha 90.00
_cell_angle_beta 90.00
_cell_angle_gamma 90.00
loop_
_atom_site_label
_atom_site_type_symbol
_atom_site_fract_x
_atom_site_fract_y
_atom_site_fract_z
La1 La 0.000 0.000 0.000
La2 La 0.000 0.500 0.500
La3 La 0.500 0.000 0.500
La4 La 0.500 0.500 0.000
Pm1 Pm 0.000 0.000 0.500
Pm2 Pm 0.000 0.500 0.000
Pm3 Pm 0.500 0.000 0.000
Pm4 Pm 0.500 0.500 0.500
Y1 Y 0.250 0.250 0.250
Y2 Y 0.250 0.250 0.750
Y3 Y 0.250 0.750 0.250
Y4 Y 0.250 0.750 0.750
Y5 Y 0.750 0.250 0.250
Y6 Y 0.750 0.250 0.750
Y7 Y 0.750 0.750 0.250
Y8 Y 0.750 0.750 0.750
# - theoretical density (g/cm³) = 5.58
# - uncorrected energy (eV per atom) = -5.559
# - calculated formation energy (eV per formula unit) = 0.37
# - SG = Fm-3m (225)

***

# 9
# AlCo2 | the Alexandria database | PBE-GGA | optimized geometry
data_AlCo2
_chemical_formula_sum 'Al3 Co6'
_space_group_name_H-M_alt 'P 1'
_space_group_IT_number 1
_space_group_name_Hall 'P 1'
_cell_length_a 2.649
_cell_length_b 2.649
_cell_length_c 17.701
_cell_angle_alpha 90.00
_cell_angle_beta 90.00
_cell_angle_gamma 120.00
loop_
_atom_site_label
_atom_site_type_symbol
_atom_site_fract_x
_atom_site_fract_y
_atom_site_fract_z
Al1 Al 0.000 0.000 0.000
Al2 Al 0.333 0.667 0.667
Al3 Al 0.667 0.333 0.333
Co1 Co 0.000 0.000 0.220
Co2 Co 0.000 0.000 0.446
Co3 Co 0.333 0.667 0.113
Co4 Co 0.333 0.667 0.887
Co5 Co 0.667 0.333 0.553
Co6 Co 0.667 0.333 0.780
# - theoretical density (g/cm³) = 6.71
# - uncorrected energy (eV per atom) = -6.108
# - calculated formation energy (eV per formula unit) = -0.37
# - SG = R3m (160)

***

# 10
# MgPbAu2 | the Alexandria database | PBE-GGA | optimized geometry
data_MgPbAu2
_chemical_formula_sum 'Mg4 Pb4 Au8'
_space_group_name_H-M_alt 'P 1'
_space_group_IT_number 1
_space_group_name_Hall 'P 1'
_cell_length_a 6.976
_cell_length_b 6.976
_cell_length_c 6.976
_cell_angle_alpha 90.00
_cell_angle_beta 90.00
_cell_angle_gamma 90.00
loop_
_atom_site_label
_atom_site_type_symbol
_atom_site_fract_x
_atom_site_fract_y
_atom_site_fract_z
Mg1 Mg 0.000 0.000 0.000
Mg2 Mg 0.000 0.500 0.500
Mg3 Mg 0.500 0.000 0.500
Mg4 Mg 0.500 0.500 0.000
Pb1 Pb 0.250 0.250 0.750
Pb2 Pb 0.250 0.750 0.250
Pb3 Pb 0.750 0.250 0.250
Pb4 Pb 0.750 0.750 0.750
Au1 Au 0.000 0.000 0.500
Au2 Au 0.000 0.500 0.000
Au3 Au 0.250 0.250 0.250
Au4 Au 0.250 0.750 0.750
Au5 Au 0.500 0.000 0.000
Au6 Au 0.500 0.500 0.500
Au7 Au 0.750 0.250 0.750
Au8 Au 0.750 0.750 0.250
# - theoretical density (g/cm³) = 12.24
# - uncorrected energy (eV per atom) = -3.072
# - calculated formation energy (eV per formula unit) = -0.43
# - SG = F-43m (216)

***

# 11
# Ir2C | the Alexandria database | PBE-GGA | optimized geometry
data_Ir2C
_chemical_formula_sum 'Ir4 C2'
_space_group_name_H-M_alt 'P 1'
_space_group_IT_number 1
_space_group_name_Hall 'P 1'
_cell_length_a 3.802
_cell_length_b 3.802
_cell_length_c 5.231
_cell_angle_alpha 90.00
_cell_angle_beta 90.00
_cell_angle_gamma 90.00
loop_
_atom_site_label
_atom_site_type_symbol
_atom_site_fract_x
_atom_site_fract_y
_atom_site_fract_z
Ir1 Ir 0.250 0.250 0.057
Ir2 Ir 0.250 0.750 0.500
Ir3 Ir 0.750 0.250 0.500
Ir4 Ir 0.750 0.750 0.943
C1 C 0.250 0.250 0.684
C2 C 0.750 0.750 0.316
# - theoretical density (g/cm³) = 17.41
# - uncorrected energy (eV per atom) = -8.261
# - calculated formation energy (eV per formula unit) = 2.16
# - SG = P4/nmm (129)

***

# 12
# ScBe2Re | the Alexandria database | PBE-GGA | optimized geometry
data_ScBe2Re
_chemical_formula_sum 'Sc1 Be2 Re1'
_space_group_name_H-M_alt 'P 1'
_space_group_IT_number 1
_space_group_name_Hall 'P 1'
_cell_length_a 3.097
_cell_length_b 3.097
_cell_length_c 5.487
_cell_angle_alpha 90.00
_cell_angle_beta 90.00
_cell_angle_gamma 90.00
loop_
_atom_site_label
_atom_site_type_symbol
_atom_site_fract_x
_atom_site_fract_y
_atom_site_fract_z
Sc1 Sc 0.000 0.000 0.000
Be1 Be 0.500 0.500 0.308
Be2 Be 0.500 0.500 0.692
Re1 Re 0.000 0.000 0.500
# - theoretical density (g/cm³) = 7.87
# - uncorrected energy (eV per atom) = -6.707
# - calculated formation energy (eV per formula unit) = -0.59
# - SG = P4/mmm (123)

***

# 13
# LaSm2Br | the Alexandria database | PBE-GGA | optimized geometry
data_LaSm2Br
_chemical_formula_sum 'La3 Sm6 Br3'
_space_group_name_H-M_alt 'P 1'
_space_group_IT_number 1
_space_group_name_Hall 'P 1'
_cell_length_a 3.743
_cell_length_b 3.743
_cell_length_c 31.327
_cell_angle_alpha 90.00
_cell_angle_beta 90.00
_cell_angle_gamma 120.00
loop_
_atom_site_label
_atom_site_type_symbol
_atom_site_fract_x
_atom_site_fract_y
_atom_site_fract_z
La1 La 0.000 0.000 0.000
La2 La 0.333 0.667 0.667
La3 La 0.667 0.333 0.333
Sm1 Sm 0.000 0.000 0.241
Sm2 Sm 0.000 0.000 0.759
Sm3 Sm 0.333 0.667 0.425
Sm4 Sm 0.333 0.667 0.908
Sm5 Sm 0.667 0.333 0.092
Sm6 Sm 0.667 0.333 0.575
Br1 Br 0.000 0.000 0.500
Br2 Br 0.333 0.667 0.167
Br3 Br 0.667 0.333 0.833
# - theoretical density (g/cm³) = 6.81
# - uncorrected energy (eV per atom) = -4.577
# - formation energy from raw total energies (meV per atom) = -568
# - SG = R-3m (166)